(1)
The following is a PBE-GGA calculation of a geometry-optimized AcPrTm2As4 structure, from Alexandria via LeMat-Bulk.

Output
formation enthalpy at 0 K = -1126 kJ/mol of formula units

Lattice parameters (Å, degrees): 7.352 4.254 7.369 90.00 109.47 90.00
Fractional coordinates of all 8 atoms:
Ac  0.000  0.000  0.000
Pr  0.000  0.500  0.500
Tm  0.500  0.000  0.500
Tm  0.500  0.500  0.000
As  0.269  0.000  0.751
As  0.273  0.500  0.263
As  0.727  0.500  0.737
As  0.731  0.000  0.249

***

(2)
The following is a PBE-GGA calculation of a geometry-optimized Ac2PmIr2 structure, from Alexandria via LeMat-Bulk.

Output
formation enthalpy at 0 K = -279 kJ/mol of formula units
offset from the most stable computed form = 0.13 eV/f.u.

Lattice parameters (Å, degrees): 6.100 4.451 11.197 90.00 96.40 90.00
Fractional coordinates of all 10 atoms:
Ac  0.105  0.250  0.282
Ac  0.374  0.250  0.624
Ac  0.626  0.750  0.376
Ac  0.895  0.750  0.718
Pm  0.280  0.250  0.962
Pm  0.720  0.750  0.038
Ir  0.148  0.750  0.460
Ir  0.404  0.750  0.824
Ir  0.596  0.250  0.176
Ir  0.852  0.250  0.540

***

(3)
The following is a PBE-GGA calculation of a geometry-optimized ErVZn4 structure, from Alexandria via LeMat-Bulk.

Output
formation enthalpy at 0 K = -99 kJ/mol of formula units

Lattice parameters (Å, degrees): 5.209 5.209 5.209 60.00 60.00 60.00
Fractional coordinates of all 6 atoms:
Er  0.000  0.000  0.000
V  0.750  0.750  0.750
Zn  0.376  0.376  0.376
Zn  0.376  0.376  0.873
Zn  0.376  0.873  0.376
Zn  0.873  0.376  0.376

***

(4)
The following is a PBE-GGA calculation of a geometry-optimized Ac4Pr3Th structure, from Alexandria via LeMat-Bulk.

Output
formation enthalpy at 0 K = 167 kJ/mol of formula units

Lattice parameters (Å, degrees): 25.414 3.648 7.206 90.00 106.47 90.00
Fractional coordinates of all 16 atoms:
Ac  0.120  0.000  0.385
Ac  0.241  0.500  0.233
Ac  0.259  0.000  0.767
Ac  0.380  0.500  0.615
Ac  0.620  0.500  0.385
Ac  0.741  0.000  0.233
Ac  0.759  0.500  0.767
Ac  0.880  0.000  0.615
Pr  0.000  0.000  0.000
Pr  0.118  0.000  0.858
Pr  0.382  0.500  0.142
Pr  0.500  0.500  0.000
Pr  0.618  0.500  0.858
Pr  0.882  0.000  0.142
Th  0.000  0.500  0.500
Th  0.500  0.000  0.500

***

(5)
The following is a PBE-GGA calculation of a geometry-optimized KBa2SrAg structure, from Alexandria via LeMat-Bulk.

Output
formation enthalpy at 0 K = -30 kJ/mol of formula units
offset from the most stable computed form = 0.00 eV/f.u.

Lattice parameters (Å, degrees): 6.662 6.662 6.422 90.00 90.00 90.00
Fractional coordinates of all 5 atoms:
K  0.000  0.000  0.000
Ba  0.000  0.500  0.500
Ba  0.500  0.000  0.500
Sr  0.500  0.500  0.000
Ag  0.500  0.500  0.500

***

(6)
The following is a PBE-GGA calculation of a geometry-optimized K2Ag2As structure, from Alexandria via LeMat-Bulk.

Output
formation enthalpy at 0 K = 285 kJ/mol of formula units
offset from the most stable computed form = 3.29 eV/f.u.

Lattice parameters (Å, degrees): 4.766 4.766 13.796 90.00 90.00 90.00
Fractional coordinates of all 10 atoms:
K  0.000  0.500  0.250
K  0.000  0.500  0.750
K  0.500  0.000  0.250
K  0.500  0.000  0.750
Ag  0.000  0.000  0.093
Ag  0.000  0.000  0.907
Ag  0.500  0.500  0.407
Ag  0.500  0.500  0.593
As  0.000  0.000  0.500
As  0.500  0.500  0.000

***

(7)
The following is a PBE-GGA calculation of a geometry-optimized RbNbSe3 structure, from Alexandria via LeMat-Bulk.

Output
offset from the most stable computed form = 13.32 eV/f.u.
ΔE_f (raw) = 1.7502 eV/atom

Lattice parameters (Å, degrees): 5.451 5.451 5.451 90.00 90.00 90.00
Fractional coordinates of all 5 atoms:
Rb  0.000  0.000  0.000
Nb  0.500  0.500  0.500
Se  0.000  0.000  0.500
Se  0.000  0.500  0.000
Se  0.500  0.000  0.000

***

(8)
The following is a PBE-GGA calculation of a geometry-optimized Tb3Ho5Tm4 structure, from Alexandria via LeMat-Bulk.

Output
formation enthalpy at 0 K = 292 kJ/mol of formula units
offset from the most stable computed form = 2.77 eV/f.u.

Lattice parameters (Å, degrees): 8.443 8.443 9.166 114.74 114.74 40.20
Fractional coordinates of all 12 atoms:
Tb  0.000  0.000  0.000
Tb  0.292  0.292  0.770
Tb  0.708  0.708  0.230
Ho  0.074  0.074  0.699
Ho  0.173  0.173  0.387
Ho  0.500  0.500  0.000
Ho  0.827  0.827  0.613
Ho  0.926  0.926  0.301
Tm  0.288  0.288  0.123
Tm  0.420  0.420  0.560
Tm  0.580  0.580  0.440
Tm  0.712  0.712  0.877

***

Which magnetic moment belongs to each record? In order, 0.00; 0.00; 3.23; 0.00; 0.00; 0.00; 0.00; 0.42 μB/f.u..
Which energy belongs to each record? In order, -6.013; -6.717; -3.300; -4.558; -1.957; -1.918; -2.548; -4.304 eV per atom.